Record 1
The following is a DFT calculation (PBE) of crystalline YAl2 at its relaxed geometry.

Summary:
E   -4.557 eV per atom
M_tot   0.2 μB/f.u.
Calculated volume   22.8 Å³/atom
DOS(E_F)   0.65 states/eV per atom

Cell: 3.028 8.122 5.556 Å, 90.00 90.00 90.00°
Space group Pnnm (No. 58)
Unique sites:
Y  0.000  0.000  0.000 [2 per cell]
Al  0.236  0.358  0.000 [4 per cell]

=====

Record 2
The following is a DFT calculation (PBE) of crystalline SmY2Rh9 at its relaxed geometry.

Summary:
E   -7.543 eV per atom
M_tot   0.0 μB/f.u.
Calculated volume   17.7 Å³/atom
DOS(E_F)   1.09 states/eV per atom

Cell: 5.2811 5.2811 26.3218 Å, 90.00 90.00 120.00°
Space group R-3m (No. 166, hexagonal axes)
Unique sites:
Sm  0.0000  0.0000  0.0000 [3 per cell]
Y  0.0000  0.0000  0.1392 [6 per cell]
Rh  0.0000  0.0000  0.3330 [6 per cell]
Rh  0.0000  0.0000  0.5000 [3 per cell]
Rh  0.9998  0.4999  0.0827 [18 per cell]

=====

Record 3
The following is a DFT calculation (PBE) of crystalline BaCd2Mo at its relaxed geometry.

Summary:
M_tot   0.0 μB/f.u.
Calculated volume   26.4 Å³/atom
DOS(E_F)   1.07 states/eV per atom
Relative energy among the computed polymorphs   179 meV per atom

Cell: 10.059 3.130 6.755 Å, 90.00 96.85 90.00°
Space group Cm (No. 8)
Unique sites:
Ba  0.000  0.000  0.000 [2 per cell]
Cd  0.003  0.500  0.546 [2 per cell]
Cd  0.256  0.500  0.320 [2 per cell]
Mo  0.243  0.000  0.675 [2 per cell]

=====

- What is the formula in the first record?
  YAl2

=====

- What is the DOS(E_F) in the first record?
  0.65 states/eV per atom